Entry 1:
Computed, not measured: a relaxed structure of ZnSbOs2 at the GGA-PBE level of DFT.

Cell lengths 3.085, 4.304, 4.927 Å; angles 90.00, 90.00, 90.00 degrees
Sites, in units of the cell vectors:
Zn: 0.000 0.000 0.000
Sb: 0.500 0.000 0.500
Os: 0.000 0.500 0.500
Os: 0.500 0.500 0.000

Values from the calculation:
M_tot = 0.00 μB per cell
total energy = -25.074 eV per cell
E above lowest polymorph = 355 meV per atom
uncorrected formation energy = 0.70 eV per atom


Entry 2:
Computed, not measured: a relaxed structure of Pr2Er5Tm12 at the GGA-PBE level of DFT.

Cell lengths 9.067, 9.067, 8.406 Å; angles 90.93, 90.93, 60.46 degrees
Sites, in units of the cell vectors:
Pr: 0.189 0.811 0.000
Pr: 0.811 0.189 0.000
Er: 0.197 0.197 0.006
Er: 0.266 0.266 0.421
Er: 0.500 0.500 0.500
Er: 0.734 0.734 0.579
Er: 0.803 0.803 0.994
Tm: 0.056 0.056 0.327
Tm: 0.065 0.682 0.351
Tm: 0.160 0.523 0.753
Tm: 0.318 0.935 0.649
Tm: 0.404 0.404 0.117
Tm: 0.477 0.840 0.247
Tm: 0.523 0.160 0.753
Tm: 0.596 0.596 0.883
Tm: 0.682 0.065 0.351
Tm: 0.840 0.477 0.247
Tm: 0.935 0.318 0.649
Tm: 0.944 0.944 0.673

Values from the calculation:
M_tot = 0.01 μB per cell
total energy = -83.450 eV per cell
E above lowest polymorph = 78 meV per atom
ΔE_f = 0.1358 eV/atom


Entry 3:
Computed, not measured: a relaxed structure of La3PmHo3 at the GGA-PBE level of DFT.

Cell lengths 8.347, 8.347, 8.347 Å; angles 69.44, 69.44, 69.44 degrees
Sites, in units of the cell vectors:
La: 0.128 0.270 0.835
La: 0.165 0.872 0.730
La: 0.270 0.835 0.128
La: 0.730 0.165 0.872
La: 0.835 0.128 0.270
La: 0.872 0.730 0.165
Pm: 0.409 0.409 0.409
Pm: 0.591 0.591 0.591
Ho: 0.025 0.311 0.446
Ho: 0.311 0.446 0.025
Ho: 0.446 0.025 0.311
Ho: 0.554 0.975 0.689
Ho: 0.689 0.554 0.975
Ho: 0.975 0.689 0.554

Values from the calculation:
M_tot = 0.00 μB per cell
total energy = -64.698 eV per cell
E above lowest polymorph = 0 meV per atom
ΔE_f = 0.1311 eV/atom


Entry 4:
Computed, not measured: a relaxed structure of Li2Mg3Sn2 at the GGA-PBE level of DFT.

Cell lengths 5.273, 5.273, 7.217 Å; angles 96.01, 96.01, 49.03 degrees
Sites, in units of the cell vectors:
Li: 0.135 0.135 0.433
Li: 0.865 0.865 0.567
Mg: 0.000 0.000 0.000
Mg: 0.290 0.290 0.849
Mg: 0.710 0.710 0.151
Sn: 0.415 0.415 0.285
Sn: 0.585 0.585 0.715

Values from the calculation:
M_tot = 0.00 μB per cell
total energy = -18.133 eV per cell
E above lowest polymorph = 58 meV per atom
ΔE_f = -0.2165 eV/atom


Entry 5:
Computed, not measured: a relaxed structure of Ba2Y2Ge at the GGA-PBE level of DFT.

Cell lengths 7.910, 7.910, 6.108 Å; angles 90.00, 90.00, 90.00 degrees
Sites, in units of the cell vectors:
Ba: 0.169 0.331 0.000
Ba: 0.331 0.831 0.000
Ba: 0.669 0.169 0.000
Ba: 0.831 0.669 0.000
Y: 0.158 0.658 0.500
Y: 0.342 0.158 0.500
Y: 0.658 0.842 0.500
Y: 0.842 0.342 0.500
Ge: 0.000 0.000 0.500
Ge: 0.500 0.500 0.500

Values from the calculation:
M_tot = 0.00 μB per cell
total energy = -43.297 eV per cell
ΔE_f = -0.0515 eV/atom


Entry 6:
Computed, not measured: a relaxed structure of DySc2P at the GGA-PBE level of DFT.

Cell lengths 5.871, 5.871, 8.371 Å; angles 90.00, 90.00, 141.95 degrees
Sites, in units of the cell vectors:
Dy: 0.063 0.937 0.750
Dy: 0.937 0.063 0.250
Sc: 0.353 0.647 0.556
Sc: 0.353 0.647 0.944
Sc: 0.647 0.353 0.056
Sc: 0.647 0.353 0.444
P: 0.240 0.760 0.250
P: 0.760 0.240 0.750

Values from the calculation:
M_tot = 0.00 μB per cell
total energy = -51.644 eV per cell
E above lowest polymorph = 0 meV per atom
ΔE_f = -0.7867 eV/atom